Record 1
The following is a DFT calculation (PBE) of crystalline B4C at its relaxed geometry.

Unit cell a=3.007 b=3.752 c=4.026 alpha=90.00 beta=105.42 gamma=90.00
Positions (direct):
C: 0.210 0.500 0.184
B: 0.382 0.773 0.946
B: 0.382 0.227 0.946
B: 0.858 0.500 0.814
B: 0.259 0.500 0.572

Results
space group	Pm
energy relative to the elements	0.43	eV per atom
total DFT energy (no corrections)	-0.49688	Ry per atom
D(E_F)	0.2	states/eV/f.u.

Record 2
The following is a DFT calculation (PBE) of crystalline KSrZr2 at its relaxed geometry.

Unit cell a=6.968 b=6.968 c=3.210 alpha=90.00 beta=90.00 gamma=125.36
Last column: magnetic moment on the atom in μB.
Positions (direct):
K: 0.500 0.000 0.500  0.03
Sr: 0.000 0.500 0.500  0.08
Zr: 0.000 0.000 0.000  0.43
Zr: 0.500 0.500 0.000  0.43

Results
space group	Cmmm
energy relative to the elements	0.93	eV per atom
total DFT energy (no corrections)	-0.29683	Ry per atom
D(E_F)	6.8	states/eV/f.u.

Record 3
The following is a DFT calculation (PBE) of crystalline LaCo at its relaxed geometry.

Unit cell a=5.955 b=5.955 c=7.527 alpha=64.59 beta=64.59 gamma=38.38
Last column: magnetic moment on the atom in μB.
Positions (direct):
La: 0.589 0.589 0.725  -0.07
La: 0.921 0.921 0.465  -0.05
La: 0.778 0.778 0.060  -0.07
Co: 0.081 0.081 0.006  0.86
Co: 0.312 0.312 0.768  0.08
Co: 0.484 0.484 0.143  1.00

Results
space group	Cm
energy relative to the elements	0.01	eV per atom
total DFT energy (no corrections)	-0.44128	Ry per atom
D(E_F)	2.4	states/eV/f.u.

Record 4
The following is a DFT calculation (PBE) of crystalline TmThGaNi at its relaxed geometry.

Unit cell a=5.007 b=5.007 c=5.007 alpha=60.00 beta=60.00 gamma=60.00
Positions (direct):
Ni: 0.250 0.250 0.250
Tm: 0.000 0.000 0.000
Ga: 0.750 0.750 0.750
Th: 0.500 0.500 0.500

Results
space group	F-43m
energy relative to the elements	-0.36	eV per atom
total DFT energy (no corrections)	-0.40648	Ry per atom
D(E_F)	3.4	states/eV/f.u.

Record 5
The following is a DFT calculation (PBE) of crystalline LiYZn2Ge2 at its relaxed geometry.

Unit cell a=4.262 b=4.262 c=6.850 alpha=90.00 beta=90.00 gamma=120.00
Positions (direct):
Li: 0.000 0.000 0.500
Y: 0.000 0.000 0.000
Zn: 0.333 0.667 0.673
Zn: 0.667 0.333 0.327
Ge: 0.333 0.667 0.253
Ge: 0.667 0.333 0.747

Results
space group	P-3m1
energy relative to the elements	-0.48	eV per atom
total DFT energy (no corrections)	-0.28230	Ry per atom
D(E_F)	1.2	states/eV/f.u.

Record 6
The following is a DFT calculation (PBE) of crystalline YInSn2 at its relaxed geometry.

Unit cell a=8.330 b=8.330 c=6.719 alpha=51.69 beta=51.69 gamma=90.00
Positions (direct):
Y: 0.500 0.500 0.000
Y: 0.250 0.750 0.500
Sn: 0.649 0.125 0.250
Sn: 0.101 0.625 0.250
Sn: 0.375 0.351 0.750
Sn: 0.875 0.899 0.750
In: 0.000 0.000 0.000
In: 0.750 0.250 0.500

Results
space group	I-42d
energy relative to the elements	-0.22	eV per atom
total DFT energy (no corrections)	-0.33233	Ry per atom
D(E_F)	0.2	states/eV/f.u.

Record 7
The following is a DFT calculation (PBE) of crystalline Li5InPd6 at its relaxed geometry.

Unit cell a=7.540 b=4.323 c=6.815 alpha=71.51 beta=79.42 gamma=54.63
Positions (direct):
Li: 0.500 0.165 0.670
Li: 0.000 0.332 0.336
Li: 0.500 0.500 0.000
Li: 0.000 0.668 0.664
Li: 0.500 0.835 0.330
In: 0.000 0.000 0.000
Pd: 0.740 0.089 0.341
Pd: 0.260 0.569 0.341
Pd: 0.264 0.235 0.000
Pd: 0.736 0.765 0.000
Pd: 0.740 0.431 0.659
Pd: 0.260 0.911 0.659

Results
space group	C2/m
energy relative to the elements	-0.49	eV per atom
total DFT energy (no corrections)	-0.30198	Ry per atom
D(E_F)	2.7	states/eV/f.u.

Record 8
The following is a DFT calculation (PBE) of crystalline PrSm2S4 at its relaxed geometry.

Unit cell a=3.938 b=6.945 c=13.436 alpha=90.00 beta=90.00 gamma=106.47
Positions (direct):
Pr: 0.625 0.250 0.750
Pr: 0.375 0.750 0.250
Sm: 0.130 0.259 0.431
Sm: 0.870 0.741 0.931
Sm: 0.130 0.259 0.069
Sm: 0.870 0.741 0.569
S: 0.775 0.549 0.121
S: 0.775 0.549 0.379
S: 0.225 0.451 0.879
S: 0.225 0.451 0.621
S: 0.969 0.937 0.750
S: 0.031 0.063 0.250
S: 0.500 0.000 0.000
S: 0.500 0.000 0.500

Results
space group	Cmcm
energy relative to the elements, uncorrected	-2.050	eV/atom
total DFT energy (no corrections)	-0.47329	Ry per atom
D(E_F)	1.7	states/eV/f.u.